[1]
SmYMg: relaxed, PBE-GGA.

Cell and atoms, written as CIF:
```
data_SmYMg
_chemical_formula_sum 'Sm4 Y4 Mg4'
_space_group_name_H-M_alt 'F -4 3 m'
_space_group_IT_number 216
_space_group_name_Hall 'F -4 2 3'
_cell_length_a 7.460
_cell_length_b 7.460
_cell_length_c 7.460
_cell_angle_alpha 90.00
_cell_angle_beta 90.00
_cell_angle_gamma 90.00
loop_
_atom_site_label
_atom_site_fract_x
_atom_site_fract_y
_atom_site_fract_z
Sm1 0.000 0.000 0.000
Y1 0.000 0.000 0.500
Mg1 0.250 0.250 0.250
```

Computed properties:
Crystal system: cubic
Uncorrected energy: -11.5 eV per formula unit
Relative energy among the computed polymorphs: 0 meV per atom


[2]
SmMg4Zn8: relaxed, PBE-GGA.

Cell and atoms, written as CIF:
```
data_SmMg4Zn8
_chemical_formula_sum 'Sm2 Mg8 Zn16'
_space_group_name_H-M_alt 'I 4/m m m'
_space_group_IT_number 139
_space_group_name_Hall '-I 4 2'
_cell_length_a 9.321
_cell_length_b 9.321
_cell_length_c 5.236
_cell_angle_alpha 90.00
_cell_angle_beta 90.00
_cell_angle_gamma 90.00
loop_
_atom_site_label
_atom_site_fract_x
_atom_site_fract_y
_atom_site_fract_z
Sm1 0.000 0.000 0.000
Mg1 0.000 0.348 0.000
Zn1 0.000 0.210 0.500
Zn2 0.250 0.250 0.250
```

Computed properties:
Crystal system: tetragonal
Uncorrected energy: -23.8 eV per formula unit
Relative energy among the computed polymorphs: 0 meV per atom